Here is TbCe2HoBi5 after structural relaxation from Alexandria. Energies are from PBE.

Cell: 5.477 5.477 11.829 Å, 90.00 90.00 90.00°
Atoms (fractional coordinates):
Tb 0.000 0.000 0.000
Ce 0.500 0.500 0.216
Ce 0.500 0.500 0.784
Ho 0.000 0.000 0.500
Bi 0.000 0.000 0.254
Bi 0.000 0.000 0.746
Bi 0.000 0.500 0.000
Bi 0.500 0.000 0.000
Bi 0.500 0.500 0.500

Output
density of states at the Fermi level = 1.98 states/eV per atom
energy of formation from the pure elements = -0.73 eV/f.u.
space group = P4/mmm